Computed, not measured: a relaxed structure of AgTeRu at the PBE-GGA level of DFT.

Summary:
ΔE to the lowest computed polymorph: 287 meV/atom
total magnetization: 0.000 μB per cell
space group: P-6m2, No. 187
crystal system: hexagonal
formation energy (no corrections): 0.3664 eV/atom

abc: 4.4012 4.4012 3.5239
angles: 90.00 90.00 120.00
Closest atoms and distances in Å follow each position.
Sites, in units of the cell vectors:
Ag  0.0000  0.0000  0.0000  6 Te 3.09, 6 Ru 3.09
Te  0.3333  0.6667  0.5000  3 Ru 2.54
Ru  0.6667  0.3333  0.5000  3 Te 2.54

=====

Computed, not measured: a relaxed structure of Ag4Te2Ru at the PBE-GGA level of DFT.

Summary:
total magnetization: 2.501 μB per cell
space group: I4/mmm, No. 139
crystal system: tetragonal
formation energy (no corrections): 0.7307 eV/atom

abc: 8.0309 8.0309 8.0309
angles: 143.18 143.18 53.06
Closest atoms and distances in Å follow each position.
Sites, in units of the cell vectors:
Ag  0.0000  0.5000  0.5000  2 Ru 2.54
Ag  0.1867  0.1867  0.0000  1 Ru 2.68, 1 Te 2.70
Ag  0.5000  0.0000  0.5000  2 Ru 2.54
Ag  0.8133  0.8133  0.0000  1 Ru 2.68, 1 Te 2.70
Te  0.3748  0.3748  0.0000  1 Ag 2.70
Te  0.6252  0.6252  0.0000  1 Ag 2.70
Ru  0.0000  0.0000  0.0000  6 Ag 2.54-2.68

=====

Computed, not measured: a relaxed structure of AgTe3Ru at the PBE-GGA level of DFT.

Summary:
ΔE to the lowest computed polymorph: 0 meV/atom
total magnetization: 0.000 μB per cell
space group: Pm-3m, No. 221
crystal system: cubic
formation energy (no corrections): 0.5695 eV/atom

abc: 5.2320 5.2320 5.2320
angles: 90.00 90.00 90.00
Closest atoms and distances in Å follow each position.
Sites, in units of the cell vectors:
Ag  0.0000  0.0000  0.0000  12 Te 3.70
Te  0.0000  0.5000  0.5000  2 Ru 2.62
Te  0.5000  0.0000  0.5000  2 Ru 2.62
Te  0.5000  0.5000  0.0000  2 Ru 2.62
Ru  0.5000  0.5000  0.5000  6 Te 2.62

=====

Computed, not measured: a relaxed structure of AgTeRu2 at the PBE-GGA level of DFT.

Summary:
total magnetization: 0.000 μB per cell
space group: Imm2, No. 44
crystal system: orthorhombic
formation energy (no corrections): 0.5266 eV/atom

abc: 5.7740 5.7740 5.7740
angles: 150.14 132.14 57.44
Closest atoms and distances in Å follow each position.
Sites, in units of the cell vectors:
Ag  0.0000  0.0000  0.0000  4 Ru 2.78, 2 Ag 2.98
Te  0.7145  0.2145  0.5000  6 Ru 2.75-2.84, 2 Te 2.98
Ru  0.2763  0.7763  0.5000  2 Ru 2.59, 4 Te 2.84
Ru  0.4860  0.4860  0.0000  2 Ru 2.59, 2 Te 2.75, 4 Ag 2.78

=====

Computed, not measured: a relaxed structure of AgTeRu2 at the PBE-GGA level of DFT.

Summary:
total magnetization: 0.001 μB per cell
space group: P4mm, No. 99
crystal system: tetragonal
formation energy (no corrections): 0.4166 eV/atom

abc: 2.9511 2.9511 8.4512
angles: 90.00 90.00 90.00
Closest atoms and distances in Å follow each position.
Sites, in units of the cell vectors:
Ag  0.0000  0.0000  0.0000  4 Ru 2.91, 4 Ag 2.95
Te  0.5000  0.5000  0.6695  4 Ru 2.95, 4 Te 2.95
Ru  0.0000  0.0000  0.4235  4 Ru 2.60
Ru  0.5000  0.5000  0.2398  4 Ru 2.60, 4 Ag 2.91

=====

Computed, not measured: a relaxed structure of AgTeRu2 at the PBE-GGA level of DFT.

Summary:
total magnetization: 0.000 μB per cell
space group: C2/m, No. 12
crystal system: monoclinic
formation energy (no corrections): 0.4752 eV/atom

abc: 4.4629 4.4629 5.4734
angles: 100.06 100.06 40.44
Closest atoms and distances in Å follow each position.
Sites, in units of the cell vectors:
Ag  0.0000  0.0000  0.0000  6 Ru 2.79-2.84, 2 Ag 3.09
Te  0.5000  0.5000  0.5000  6 Ru 2.63-2.67
Ru  0.2456  0.2456  0.7185  3 Te 2.63-2.67, 3 Ag 2.79-2.84, 2 Ru 2.86
Ru  0.7544  0.7544  0.2815  3 Te 2.63-2.67, 3 Ag 2.79-2.84, 2 Ru 2.86

=====

Computed, not measured: a relaxed structure of AgTeRu2 at the PBE-GGA level of DFT.

Summary:
total magnetization: 0.000 μB per cell
space group: P4/mmm, No. 123
crystal system: tetragonal
formation energy (no corrections): 0.4315 eV/atom

abc: 3.1909 3.1909 6.5821
angles: 90.00 90.00 90.00
Closest atoms and distances in Å follow each position.
Sites, in units of the cell vectors:
Ag  0.0000  0.0000  0.0000  8 Ru 2.88, 4 Ag 3.19
Te  0.0000  0.0000  0.5000  8 Ru 2.71
Ru  0.5000  0.5000  0.2720  4 Te 2.71, 4 Ag 2.88, 1 Ru 3.00
Ru  0.5000  0.5000  0.7280  4 Te 2.71, 4 Ag 2.88, 1 Ru 3.00

=====

Computed, not measured: a relaxed structure of AgTeRu2 at the PBE-GGA level of DFT.

Summary:
total magnetization: 0.000 μB per cell
space group: Pmm2, No. 25
crystal system: orthorhombic
formation energy (no corrections): 0.4455 eV/atom

abc: 2.9348 3.6909 6.8678
angles: 90.00 90.00 90.00
Closest atoms and distances in Å follow each position.
Sites, in units of the cell vectors:
Ag  0.0000  0.0000  0.0000  5 Ru 2.88-2.90, 2 Ag 2.93
Te  0.5000  0.5000  0.6495  5 Ru 2.77-2.84, 2 Te 2.93
Ru  0.0000  0.0000  0.4197  6 Ru 2.64-2.93, 4 Te 2.84, 1 Ag 2.88
Ru  0.5000  0.5000  0.2462  6 Ru 2.64-2.93, 1 Te 2.77, 4 Ag 2.90

=====

Computed, not measured: a relaxed structure of AgTeRu2 at the PBE-GGA level of DFT.

Summary:
total magnetization: 0.483 μB per cell
space group: F-43m, No. 216
crystal system: cubic
formation energy (no corrections): 0.6355 eV/atom

abc: 4.5938 4.5938 4.5938
angles: 60.00 60.00 60.00
Closest atoms and distances in Å follow each position.
Sites, in units of the cell vectors:
Ag  0.0000  0.0000  0.0000  4 Ru 2.81, 4 Te 2.81
Te  0.2500  0.2500  0.2500  4 Ru 2.81, 4 Ag 2.81
Ru  0.5000  0.5000  0.5000  4 Ru 2.81, 4 Te 2.81
Ru  0.7500  0.7500  0.7500  4 Ru 2.81, 4 Ag 2.81

=====

Computed, not measured: a relaxed structure of AgTeRu at the PBE-GGA level of DFT.

Summary:
ΔE to the lowest computed polymorph: 164 meV/atom
total magnetization: 0.000 μB per cell
space group: I4mm, No. 107
crystal system: tetragonal
formation energy (no corrections): 0.2435 eV/atom

abc: 6.2078 6.2078 6.2078
angles: 149.88 149.88 43.12
Closest atoms and distances in Å follow each position.
Sites, in units of the cell vectors:
Ag  0.0000  0.0000  0.0000  4 Ru 2.95, 4 Ag 3.23, 1 Te 3.23
Te  0.7201  0.7201  0.0000  4 Ru 2.65
Ru  0.3375  0.3375  0.0000  4 Te 2.65, 4 Ag 2.95

=====

Computed, not measured: a relaxed structure of ThAgRu at the PBE-GGA level of DFT.

Summary:
ΔE to the lowest computed polymorph: 74 meV/atom
total magnetization: 0.000 μB per cell
space group: C2/m, No. 12
formation energy: -0.2300 eV per atom
crystal system: monoclinic

abc: 5.3004 5.3004 7.6544
angles: 117.18 117.18 44.22
Closest atoms and distances in Å follow each position.
Sites, in units of the cell vectors:
Th  0.0751  0.0751  0.3298  1 Ru 2.62
Th  0.9249  0.9249  0.6702  1 Ru 2.62
Ag  0.3319  0.3319  0.9466  3 Ru 2.83-2.94, 3 Ag 2.92-2.98
Ag  0.6681  0.6681  0.0534  3 Ru 2.83-2.94, 3 Ag 2.92-2.98
Ru  0.3452  0.3452  0.3388  1 Th 2.62, 1 Ru 2.82, 2 Ag 2.83
Ru  0.6548  0.6548  0.6612  1 Th 2.62, 1 Ru 2.82, 2 Ag 2.83

=====

Computed, not measured: a relaxed structure of Th2AgRu at the PBE-GGA level of DFT.

Summary:
total magnetization: 0.000 μB per cell
space group: Cm, No. 8
formation energy: -0.2809 eV per atom
crystal system: monoclinic

abc: 4.1561 4.1561 7.7148
angles: 105.65 105.65 60.07
Closest atoms and distances in Å follow each position.
Sites, in units of the cell vectors:
Th  0.0000  0.0000  0.0000  3 Ru 2.85
Th  0.1954  0.1954  0.5887  3 Ru 2.82
Ag  0.4318  0.4318  0.2963  6 Th 3.22-3.24
Ru  0.5966  0.5966  0.7910  6 Th 2.82-2.85

=====

Computed, not measured: a relaxed structure of Th2AgRu at the PBE-GGA level of DFT.

Summary:
total magnetization: 0.001 μB per cell
space group: P4/mmm, No. 123
formation energy: -0.2221 eV per atom
crystal system: tetragonal

abc: 3.5370 3.5370 7.8169
angles: 90.00 90.00 90.00
Closest atoms and distances in Å follow each position.
Sites, in units of the cell vectors:
Th  0.0000  0.0000  0.2223  4 Ru 3.05, 4 Ag 3.31
Th  0.0000  0.0000  0.7777  4 Ru 3.05, 4 Ag 3.31
Ag  0.5000  0.5000  0.5000  8 Th 3.31, 4 Ag 3.54
Ru  0.5000  0.5000  0.0000  8 Th 3.05

=====

Computed, not measured: a relaxed structure of Th2AgRu at the PBE-GGA level of DFT.

Summary:
total magnetization: 0.000 μB per cell
space group: P-3m1, No. 164
formation energy: -0.2332 eV per atom
crystal system: trigonal

abc: 4.1683 4.1683 7.3563
angles: 90.00 90.00 120.00
Closest atoms and distances in Å follow each position.
Sites, in units of the cell vectors:
Th  0.3333  0.6667  0.2954  3 Ru 2.84
Th  0.6667  0.3333  0.7046  3 Ru 2.84
Ag  0.0000  0.0000  0.0000  6 Th 3.24
Ru  0.0000  0.0000  0.5000  6 Th 2.84

=====

Computed, not measured: a relaxed structure of Th4AgRu at the PBE-GGA level of DFT.

Summary:
total magnetization: 0.000 μB per cell
space group: P4/mcc, No. 124
formation energy: -0.2349 eV per atom
crystal system: tetragonal

abc: 7.3445 7.3445 6.0498
angles: 90.00 90.00 90.00
Closest atoms and distances in Å follow each position.
Sites, in units of the cell vectors:
Th  0.1481  0.3230  0.0000  2 Ru 3.02, 2 Ag 3.26
Th  0.1481  0.6770  0.5000  2 Ru 3.02, 2 Ag 3.26
Th  0.3230  0.1481  0.5000  2 Ru 3.02, 2 Ag 3.26
Th  0.3230  0.8519  0.0000  2 Ru 3.02, 2 Ag 3.26
Th  0.6770  0.1481  0.0000  2 Ru 3.02, 2 Ag 3.26
Th  0.6770  0.8519  0.5000  2 Ru 3.02, 2 Ag 3.26
Th  0.8519  0.3230  0.5000  2 Ru 3.02, 2 Ag 3.26
Th  0.8519  0.6770  0.0000  2 Ru 3.02, 2 Ag 3.26
Ag  0.5000  0.5000  0.2500  2 Ag 3.02, 8 Th 3.26
Ag  0.5000  0.5000  0.7500  2 Ag 3.02, 8 Th 3.26
Ru  0.0000  0.0000  0.2500  8 Th 3.02, 2 Ru 3.02
Ru  0.0000  0.0000  0.7500  8 Th 3.02, 2 Ru 3.02

=====

Computed, not measured: a relaxed structure of ThAgRu at the PBE-GGA level of DFT.

Summary:
ΔE to the lowest computed polymorph: 0 meV/atom
total magnetization: 0.000 μB per cell
space group: Cmcm, No. 63
formation energy: -0.3038 eV per atom
crystal system: orthorhombic

abc: 9.1799 9.1799 3.8770
angles: 90.00 90.00 156.28
Closest atoms and distances in Å follow each position.
Sites, in units of the cell vectors:
Th  0.0972  0.9028  0.7500  4 Ru 2.81
Th  0.9028  0.0972  0.2500  4 Ru 2.81
Ag  0.2842  0.7158  0.7500  1 Ru 2.90, 4 Ag 2.97
Ag  0.7158  0.2842  0.2500  1 Ru 2.90, 4 Ag 2.97
Ru  0.4454  0.5546  0.7500  2 Ru 2.76, 4 Th 2.81, 1 Ag 2.90
Ru  0.5546  0.4454  0.2500  2 Ru 2.76, 4 Th 2.81, 1 Ag 2.90

=====

Computed, not measured: a relaxed structure of Th2TlAgRu at the PBE-GGA level of DFT.

Summary:
total magnetization: 0.000 μB per cell
space group: P2_1/m, No. 11
formation energy: -0.2663 eV per atom
crystal system: monoclinic

abc: 8.3282 3.9674 8.3581
angles: 90.00 110.41 90.00
Closest atoms and distances in Å follow each position.
Sites, in units of the cell vectors:
Th  0.1071  0.2500  0.3499  2 Ru 2.78
Th  0.2795  0.2500  0.0038  3 Ru 2.78-3.06
Th  0.7205  0.7500  0.9962  3 Ru 2.78-3.06
Th  0.8929  0.7500  0.6501  2 Ru 2.78
Tl  0.3130  0.7500  0.6924  3 Ag 2.98-3.31
Tl  0.6870  0.2500  0.3076  3 Ag 2.98-3.31
Ag  0.4437  0.7500  0.3616  1 Ru 2.80, 2 Ag 2.94, 2 Tl 2.98
Ag  0.5563  0.2500  0.6384  1 Ru 2.80, 2 Ag 2.94, 2 Tl 2.98
Ru  0.1121  0.7500  0.1186  5 Th 2.78-3.06, 1 Ag 2.80, 2 Ru 2.96
Ru  0.8879  0.2500  0.8814  5 Th 2.78-3.06, 1 Ag 2.80, 2 Ru 2.96

=====

Computed, not measured: a relaxed structure of TmThAgRu at the PBE-GGA level of DFT.

Summary:
total magnetization: 0.000 μB per cell
space group: F-43m, No. 216
formation energy: -0.2811 eV per atom
crystal system: cubic

abc: 5.0444 5.0444 5.0444
angles: 60.00 60.00 60.00
Closest atoms and distances in Å follow each position.
Sites, in units of the cell vectors:
Tm  0.0000  0.0000  0.0000  4 Ru 3.09, 4 Ag 3.09
Th  0.5000  0.5000  0.5000  4 Ru 3.09, 4 Ag 3.09
Ag  0.2500  0.2500  0.2500  4 Th 3.09, 4 Tm 3.09
Ru  0.7500  0.7500  0.7500  4 Th 3.09, 4 Tm 3.09

=====

Computed, not measured: a relaxed structure of Th2ZnAgRu at the PBE-GGA level of DFT.

Summary:
total magnetization: 0.000 μB per cell
space group: P2_1/m, No. 11
formation energy: -0.3150 eV per atom
crystal system: monoclinic

abc: 7.7199 4.0552 8.0293
angles: 90.00 110.33 90.00
Closest atoms and distances in Å follow each position.
Sites, in units of the cell vectors:
Th  0.0170  0.2500  0.2184  3 Ru 2.79-3.07
Th  0.3626  0.7500  0.6119  2 Ru 2.78
Th  0.6374  0.2500  0.3881  2 Ru 2.78
Th  0.9830  0.7500  0.7816  3 Ru 2.79-3.07
Zn  0.3611  0.2500  0.9486  1 Ru 2.62, 2 Ag 2.80, 2 Zn 2.86
Zn  0.6389  0.7500  0.0514  1 Ru 2.62, 2 Ag 2.80, 2 Zn 2.86
Ag  0.3169  0.7500  0.1715  3 Zn 2.80-2.96
Ag  0.6831  0.2500  0.8285  3 Zn 2.80-2.96
Ru  0.1209  0.2500  0.6244  1 Zn 2.62, 4 Th 2.78-2.79
Ru  0.8791  0.7500  0.3756  1 Zn 2.62, 4 Th 2.78-2.79

=====

Computed, not measured: a relaxed structure of TiAgRu3 at the PBE-GGA level of DFT.

Summary:
ΔE to the lowest computed polymorph: 970 meV/atom
total magnetization: 3.512 μB per cell
space group: Pm-3m, No. 221
formation energy: 2.1335 eV per atom
crystal system: cubic

abc: 4.7491 4.7491 4.7491
angles: 90.00 90.00 90.00
Closest atoms and distances in Å follow each position.
Sites, in units of the cell vectors:
Ti  0.0000  0.0000  0.0000  12 Ru 3.36
Ag  0.5000  0.5000  0.5000  6 Ru 2.37
Ru  0.0000  0.5000  0.5000  2 Ag 2.37
Ru  0.5000  0.0000  0.5000  2 Ag 2.37
Ru  0.5000  0.5000  0.0000  2 Ag 2.37